[1]
## HfCrGa (GGA-PBE)

Data for HfCrGa after structural relaxation.

Summary:
Its electronic total energy is -22.94 eV for the cell shown. As for the calculated density: 10.22 g/cm³. As for the formation energy: -0.33 eV per formula unit.

Lattice parameters (Å, degrees): 5.082 5.082 5.082 142.28 142.28 54.41
Fractional coordinates of all 3 atoms:
Hf (0.000, 0.000, 0.000)
Cr (0.329, 0.329, 0.000)
Ga (0.689, 0.689, 0.000)

***

[2]
## NbBiO3 (GGA-PBE)

Data for NbBiO3 after structural relaxation.

Summary:
Its electronic total energy is -36.78 eV for the cell shown. The value obtained for the uncorrected formation energy is -1.591 eV per atom. As for the calculated density: 8.37 g/cm³.

Lattice parameters (Å, degrees): 4.109 4.109 4.109 90.00 90.00 90.00
Fractional coordinates of all 5 atoms:
Nb (0.000, 0.000, 0.000)
Bi (0.500, 0.500, 0.500)
O (0.000, 0.000, 0.500)
O (0.000, 0.500, 0.000)
O (0.500, 0.000, 0.000)